DFT (PBEsol) results for crystalline AlTl2FeN at its relaxed geometry.

Summary:
Fermi-level density of states in states/eV per cell: 6.27
Theoretical density in g/cm³: 8.775
Raw formation energy in eV per formula unit: 2.9
Calculated volume in Å³ per atom: 19.137

Unit cell a=5.2885 b=5.2885 c=3.4212 alpha=90.00 beta=90.00 gamma=90.00
Last column: nearest neighbours and their distance in Å.
Element x y z (fractional)
Al  0.0000  0.0000  0.0000  2 N 1.71
Tl  0.0000  0.5000  0.5000  2 N 2.64
Tl  0.5000  0.0000  0.5000  2 N 2.64
Fe  0.5000  0.5000  0.0000  8 Tl 3.15, 2 Fe 3.42
N  0.0000  0.0000  0.5000  2 Al 1.71